1.
NdRu2PbO8: optimized geometry, PBE-GGA.

Geometry as POSCAR:
```
NdRu2PbO8
1.0
-2.767 -0.295 5.328
4.532 -3.748 -1.245
4.728 4.813 2.722
Nd Ru Pb O
1 2 1 8
direct
0.000 0.000 0.500
0.667 0.333 0.203
0.333 0.667 0.797
0.000 0.000 0.000
0.333 0.667 0.039
0.331 0.167 0.280
0.833 0.165 0.280
0.667 0.333 0.961
0.167 0.835 0.720
0.669 0.833 0.720
0.165 0.331 0.720
0.835 0.669 0.280
```

## Properties
* total moment: 0.2519 μB/atom
* formation energy from raw total energies: -1.27 eV/atom
* Fermi-level density of states: 5.46 states/eV per cell
* calculated total energy: -81.980 eV/cell

=====

2.
NdRuPbO6: optimized geometry, PBE-GGA.

Geometry as POSCAR:
```
NdRuPbO6
1.0
-4.524 -2.627 2.289
0.741 -3.954 4.052
-0.277 3.463 3.430
Nd Ru Pb O
1 1 1 6
direct
0.667 0.667 0.500
0.333 0.333 0.500
0.000 0.000 0.000
0.052 0.340 0.275
0.340 0.052 0.725
0.608 0.340 0.725
0.052 0.608 0.725
0.340 0.608 0.275
0.608 0.052 0.275
```

## Properties
* total moment: 0.0773 μB/atom
* formation energy from raw total energies: -1.45 eV/atom
* Fermi-level density of states: 4.10 states/eV per cell
* calculated total energy: -60.536 eV/cell

=====

3.
NdPbS2O8: optimized geometry, PBE-GGA.

Geometry as POSCAR:
```
NdPbS2O8
1.0
5.515 0.030 -0.395
2.571 4.879 -0.395
-0.383 -0.233 8.956
Nd Pb S O
1 1 2 8
direct
0.000 0.000 0.000
0.000 0.000 0.500
0.680 0.680 0.214
0.320 0.320 0.786
0.624 0.197 0.821
0.794 0.794 0.114
0.741 0.741 0.373
0.259 0.259 0.627
0.206 0.206 0.886
0.197 0.624 0.821
0.803 0.376 0.179
0.376 0.803 0.179
```

## Properties
* total moment: 0.0838 μB/atom
* formation energy from raw total energies: -1.72 eV/atom
* Fermi-level density of states: 3.40 states/eV per cell
* calculated total energy: -77.089 eV/cell